Record 1
Material: Rb3Tm2PbO6
Method: DFT, PBE-GGA
State: optimized geometry

Cell and atoms, written as POSCAR:
```
Rb3Tm2PbO6
1.0
6.0888 -0.0016 0.0014
-3.0443 5.2731 0.0014
-1.0140 -1.7557 6.5616
Tm O Rb Pb
2 6 3 1
Direct
0.3331 0.6669 0.0000
0.6669 0.3331 0.0000
0.0600 0.4145 0.1804
0.5855 0.9400 0.8196
0.7058 0.7058 0.1793
0.4145 0.0600 0.1804
0.2942 0.2942 0.8207
0.9400 0.5855 0.8196
0.5000 0.5000 0.5000
0.8362 0.1638 0.5000
0.1638 0.8362 0.5000
0.0000 0.0000 0.0000
```

## Properties
DFT total energy, eV per atom: -5.947
Crystal system: monoclinic
N(E_F), states/eV/atom: 0.3556


Record 2
Material: Rb2TmPbO4
Method: DFT, PBE-GGA
State: optimized geometry

Cell and atoms, written as POSCAR:
```
Rb2TmPbO4
1.0
-1.4659 5.7234 2.1294
-5.0956 -2.3477 2.8250
5.7648 -2.4752 1.3494
Rb O Pb Tm
2 4 1 1
Direct
0.2361 0.2361 0.4722
0.4862 0.9862 0.9724
0.0192 0.1246 0.7277
0.7085 0.6031 0.7277
0.8682 0.4524 0.2152
0.3470 0.7628 0.2152
0.7360 0.7360 0.4719
0.9859 0.4859 0.9717
```

## Properties
DFT total energy, eV per atom: -5.596
Crystal system: monoclinic
N(E_F), states/eV/atom: 0.3442


Record 3
Material: Rb4U3PbO12
Method: DFT, PBE-GGA
State: optimized geometry

Cell and atoms, written as POSCAR:
```
Rb4U3PbO12
1.0
-7.5986 0.5159 0.9673
1.8345 -7.1580 -2.0829
3.5420 1.7359 6.5865
Rb U O Pb
4 3 12 1
Direct
0.5000 0.5000 0.5000
0.0000 0.5000 0.0000
0.0000 0.0000 0.5000
0.5000 0.0000 0.0000
0.5000 0.5000 0.0000
0.5000 0.0000 0.5000
0.0000 0.5000 0.5000
0.5000 0.7500 0.2500
0.2500 0.5000 0.7500
0.7195 0.0000 0.7195
0.0000 0.2805 0.2805
0.7500 0.2500 0.5000
0.5000 0.2500 0.7500
0.7195 0.7195 0.0000
0.2805 0.0000 0.2805
0.2500 0.7500 0.5000
0.2805 0.2805 0.0000
0.0000 0.7195 0.7195
0.7500 0.5000 0.2500
0.0000 0.0000 0.0000
```

## Properties
DFT total energy, eV per atom: -7.666
Crystal system: cubic
N(E_F), states/eV/atom: 0.0000


Record 4
Material: Rb3U2PbO9
Method: DFT, PBE-GGA
State: optimized geometry

Cell and atoms, written as POSCAR:
```
Rb3U2PbO9
1.0
6.2206 0.0000 0.0000
-3.1103 5.3872 0.0000
0.0000 0.0000 7.6547
O Rb U Pb
9 3 2 1
Direct
0.3590 0.1795 0.6847
0.5000 0.0000 0.0000
0.6410 0.8205 0.3153
0.8205 0.6410 0.6847
0.8205 0.1795 0.6847
0.1795 0.3590 0.3153
0.5000 0.5000 0.0000
0.1795 0.8205 0.3153
0.0000 0.5000 0.0000
0.3333 0.6667 0.6575
0.6667 0.3333 0.3425
0.0000 0.0000 0.0000
0.6667 0.3333 0.8383
0.3333 0.6667 0.1617
0.0000 0.0000 0.5000
```

## Properties
DFT total energy, eV per atom: -7.327
Crystal system: trigonal
N(E_F), states/eV/atom: 0.4134


Record 5
Material: Rb2U3PbO12
Method: DFT, PBE-GGA
State: optimized geometry

Cell and atoms, written as POSCAR:
```
Rb2U3PbO12
1.0
7.8549 -0.0620 -0.0440
3.8253 6.8608 -0.0440
3.8253 2.2266 6.4896
Rb Pb O U
2 1 12 3
Direct
0.3760 0.3760 0.3760
0.6240 0.6240 0.6240
0.0000 0.0000 0.0000
0.9307 0.3110 0.3110
0.3110 0.9307 0.3110
0.3110 0.3110 0.9307
0.9316 0.9316 0.3288
0.0684 0.0684 0.6712
0.3288 0.9316 0.9316
0.6890 0.6890 0.0693
0.6712 0.0684 0.0684
0.9316 0.3288 0.9316
0.6890 0.0693 0.6890
0.0693 0.6890 0.6890
0.0684 0.6712 0.0684
0.0000 0.5000 0.0000
0.0000 0.0000 0.5000
0.5000 0.0000 0.0000
```

## Properties
DFT total energy, eV per atom: -8.072
Crystal system: trigonal
N(E_F), states/eV/atom: 0.0000